First-principles (PBE-GGA) data for a relaxed structure of Er4Tm2Sc, as listed in Alexandria via LeMat-Bulk.

abc: 5.396 11.953 13.119
angles: 90.00 90.00 90.00
Space group Pbca (No. 61)
Inequivalent atoms, fractional coordinates:
Er: 0.002 0.142 0.181 x8
Er: 0.002 0.244 0.425 x8
Tm: 0.000 0.072 0.656 x8
Sc: 0.000 0.000 0.000 x4

Calculated values
magnetic moment: 0.00 μB per atom
ΔE_f: 0.1950 eV per atom
calculated density: 8.3 g/cm3